w) 5
Lattice="4.114 0.000 0.000 0.000 4.114 0.000 0.000 0.000 5.303" Properties=species:S:1:pos:R:3 comment="GGA-PBE CaPtNF2, optimized geometry" magmom_total_mub_per_atom=0.4954 dos_at_fermi_per_ev_cell=2.3 pbc="T T T"
Ca 0.000 0.000 0.000
Pt 2.057 2.057 2.651
N 0.000 0.000 2.651
F 0.000 2.057 0.000
F 2.057 0.000 0.000

***

x) 5
Lattice="4.688 0.000 0.000 0.000 4.688 0.000 0.000 0.000 3.719" Properties=species:S:1:pos:R:3 comment="GGA-PBE CaPtNF2, optimized geometry" magmom_total_mub_per_atom=0.0000 dos_at_fermi_per_ev_cell=2.2 pbc="T T T"
Ca 0.000 0.000 0.000
Pt 2.344 2.344 1.860
N 2.344 2.344 0.000
F 0.000 2.344 1.860
F 2.344 0.000 1.860

***

So which one is most stable? That would be x), about 583 meV/atom below the next structure.

***

w) 5
Lattice="4.155 0.000 0.000 0.000 4.155 0.000 0.000 0.000 5.159" Properties=species:S:1:pos:R:3 comment="GGA-PBE CaRhNF2, optimized geometry" magmom_total_mub_per_atom=0.7800 dos_at_fermi_per_ev_cell=1.6 pbc="T T T"
Ca 0.000 0.000 0.000
Rh 2.078 2.078 2.579
N 0.000 0.000 2.579
F 0.000 2.078 0.000
F 2.078 0.000 0.000

***

x) 5
Lattice="4.408 0.000 0.000 0.000 4.408 0.000 0.000 0.000 3.765" Properties=species:S:1:pos:R:3 comment="GGA-PBE CaRhNF2, optimized geometry" magmom_total_mub_per_atom=0.0000 dos_at_fermi_per_ev_cell=2.5 pbc="T T T"
Ca 0.000 0.000 0.000
Rh 2.204 2.204 1.883
N 2.204 2.204 0.000
F 0.000 2.204 1.883
F 2.204 0.000 1.883

***

So which one is most stable? That would be x), about 679 meV/atom below the next structure.

***

w) 5
Lattice="4.609 0.000 0.000 0.000 4.609 0.000 0.000 0.000 4.176" Properties=species:S:1:pos:R:3 comment="GGA-PBE CaRhN2F, optimized geometry" magmom_total_mub_per_atom=1.2006 dos_at_fermi_per_ev_cell=3.3 pbc="T T T"
Ca 0.000 0.000 0.000
Rh 2.305 2.305 2.088
N 0.000 2.305 0.000
N 2.305 0.000 0.000
F 0.000 0.000 2.088

***

x) 5
Lattice="3.752 0.000 0.000 0.000 3.752 0.000 0.000 0.000 5.335" Properties=species:S:1:pos:R:3 comment="GGA-PBE CaRhN2F, optimized geometry" magmom_total_mub_per_atom=0.0638 dos_at_fermi_per_ev_cell=1.9 pbc="T T T"
Ca 0.000 0.000 0.000
Rh 1.876 1.876 2.667
N 0.000 1.876 2.667
N 1.876 0.000 2.667
F 1.876 1.876 0.000

***

So which one is most stable? That would be x), about 1414 meV/atom below the next structure.

***

w) 5
Lattice="4.338 0.000 0.000 0.000 4.338 0.000 0.000 0.000 3.784" Properties=species:S:1:pos:R:3 comment="GGA-PBE CaRuNF2, optimized geometry" magmom_total_mub_per_atom=0.0000 dos_at_fermi_per_ev_cell=1.3 pbc="T T T"
Ca 0.000 0.000 0.000
Ru 2.169 2.169 1.892
N 2.169 2.169 0.000
F 0.000 2.169 1.892
F 2.169 0.000 1.892

***

x) 5
Lattice="4.100 0.000 0.000 0.000 4.100 0.000 0.000 0.000 5.072" Properties=species:S:1:pos:R:3 comment="GGA-PBE CaRuNF2, optimized geometry" magmom_total_mub_per_atom=0.8994 dos_at_fermi_per_ev_cell=4.5 pbc="T T T"
Ca 0.000 0.000 0.000
Ru 2.050 2.050 2.536
N 0.000 0.000 2.536
F 0.000 2.050 0.000
F 2.050 0.000 0.000

***

So which one is most stable? That would be w), about 838 meV/atom below the next structure.

***

w) 5
Lattice="4.221 0.000 0.000 0.000 4.221 0.000 0.000 0.000 5.667" Properties=species:S:1:pos:R:3 comment="GGA-PBE CaSNF2, optimized geometry" magmom_total_mub_per_atom=0.5262 dos_at_fermi_per_ev_cell=2.0 pbc="T T T"
Ca 0.000 0.000 0.000
S 2.110 2.110 2.833
N 0.000 0.000 2.833
F 0.000 2.110 0.000
F 2.110 0.000 0.000

***

x) 5
Lattice="4.624 0.000 0.000 0.000 4.624 0.000 0.000 0.000 3.406" Properties=species:S:1:pos:R:3 comment="GGA-PBE CaSNF2, optimized geometry" magmom_total_mub_per_atom=0.0064 dos_at_fermi_per_ev_cell=1.1 pbc="T T T"
Ca 0.000 0.000 0.000
S 2.312 2.312 1.703
N 2.312 2.312 0.000
F 0.000 2.312 1.703
F 2.312 0.000 1.703

***

So which one is most stable? That would be x), about 384 meV/atom below the next structure.

***

w) 5
Lattice="4.035 0.000 0.000 0.000 4.035 0.000 0.000 0.000 4.988" Properties=species:S:1:pos:R:3 comment="GGA-PBE CaScNF2, optimized geometry" magmom_total_mub_per_atom=0.0000 dos_at_fermi_per_ev_cell=0.0 pbc="T T T"
Ca 0.000 0.000 0.000
Sc 2.018 2.018 2.494
N 0.000 0.000 2.494
F 0.000 2.018 0.000
F 2.018 0.000 0.000

***

x) 5
Lattice="4.072 0.000 0.000 0.000 4.072 0.000 0.000 0.000 4.304" Properties=species:S:1:pos:R:3 comment="GGA-PBE CaScNF2, optimized geometry" magmom_total_mub_per_atom=0.0000 pbc="T T T"
Ca 0.000 0.000 0.000
Sc 2.036 2.036 2.152
N 2.036 2.036 0.000
F 0.000 2.036 2.152
F 2.036 0.000 2.152

***

So which one is most stable? That would be x), about 812 meV/atom below the next structure.